## PaCoAg2O6 (GGA+U)

Data for PaCoAg2O6 after structural relaxation.

extended XYZ file:
```
10
Lattice="5.5300 0.0000 0.0017 2.7650 4.7887 0.0012 2.7669 1.5969 4.6859" Properties=species:S:1:pos:R:3 pbc="T T T"
Pa 8.2960 4.7891 2.5867
Co 2.7651 1.5963 0.2423
Ag 5.5314 3.1907 1.4090
Ag 2.7656 1.5989 3.7632
O 4.2874 1.2796 1.3276
O 4.4993 5.2232 1.3314
O 7.8087 3.0674 1.3371
O 6.5626 4.3550 3.8399
O 6.0183 1.7221 3.8349
O 4.0099 3.5097 3.8424
```

Properties
Final energy   -6.35 eV per atom